MoPdRu2: relaxed, GGA-PBE.

Lattice parameters (Å, degrees): 6.545 6.545 6.545 127.17 127.17 77.98
Sites, in units of the cell vectors:
Mo 0.000 0.000 0.000
Mo 0.750 0.250 0.500
Pd 0.250 0.750 0.500
Pd 0.500 0.500 0.000
Ru 0.116 0.625 0.991
Ru 0.375 0.366 0.491
Ru 0.634 0.125 0.009
Ru 0.875 0.884 0.509

Calculated density = 7.79 g cm⁻³
Energy relative to the lowest polymorph listed for this composition = 1.223 eV/atom
Energy of formation = 1.25 eV per atom
Total magnetization = 0.00 μB/cell